# Ca2PbAuO5, relaxed, DFT PBE
# E_form (uncorrected), eV per atom: -1.46
data_Ca2PbAuO5
_cell_length_a 3.297
_cell_length_b 15.349
_cell_length_c 10.864
_cell_angle_alpha 90.00
_cell_angle_beta 90.00
_cell_angle_gamma 90.00
_space_group_name_H-M_alt 'C m c 21'
_space_group_IT_number 36
_space_group_name_Hall 'C 2c -2'
loop_
_atom_site_label
_atom_site_fract_x
_atom_site_fract_y
_atom_site_fract_z
_atom_site_occupancy
Ca1 0.000 0.051 0.000 1
Ca2 0.000 0.135 0.684 1
Pb1 0.000 0.235 0.412 1
Au1 0.000 0.447 0.777 1
O1 0.000 0.084 0.397 1
O2 0.000 0.270 0.781 1
O3 0.000 0.283 0.052 1
O4 0.000 0.377 0.384 1
O5 0.000 0.478 0.120 1